w) # Ti2PbCl (GGA-PBE, relaxed)
data_Ti2PbCl
_chemical_formula_sum 'Ti4 Pb2 Cl2'
_space_group_name_H-M_alt 'P 1'
_space_group_IT_number 1
_space_group_name_Hall 'P 1'
_cell_length_a 8.356
_cell_length_b 8.356
_cell_length_c 8.356
_cell_angle_alpha 144.77
_cell_angle_beta 144.77
_cell_angle_gamma 50.68
loop_
_atom_site_label
_atom_site_fract_x
_atom_site_fract_y
_atom_site_fract_z
_atom_site_occupancy
Ti1 0.024 0.625 0.899 1
Ti2 0.375 0.274 0.399 1
Ti3 0.726 0.125 0.101 1
Ti4 0.875 0.976 0.601 1
Pb1 0.250 0.750 0.500 1
Pb2 0.500 0.500 0.000 1
Cl1 0.000 0.000 0.000 1
Cl2 0.750 0.250 0.500 1
# Density of states at the Fermi level: 1.162 states/eV per atom
# Space group: I-42d, No. 122
# Total moment: 1.37 μB/f.u.

=====

x) # Ti2PbCl (GGA-PBE, relaxed)
data_Ti2PbCl
_chemical_formula_sum 'Ti2 Pb1 Cl1'
_space_group_name_H-M_alt 'P 1'
_space_group_IT_number 1
_space_group_name_Hall 'P 1'
_cell_length_a 4.777
_cell_length_b 4.777
_cell_length_c 4.777
_cell_angle_alpha 60.00
_cell_angle_beta 60.00
_cell_angle_gamma 60.00
loop_
_atom_site_label
_atom_site_fract_x
_atom_site_fract_y
_atom_site_fract_z
_atom_site_occupancy
Ti1 0.250 0.250 0.250 1
Ti2 0.750 0.750 0.750 1
Pb1 0.000 0.000 0.000 1
Cl1 0.500 0.500 0.500 1
# Density of states at the Fermi level: 1.016 states/eV per atom
# Space group: Fm-3m, No. 225
# Total moment: 0.00 μB/f.u.

=====

What should be chosen as the most stable of them? Choose x).